Pm4Dy3Si4: optimized geometry, PBE.

The density of states at the Fermi level is 8.09 states/eV per cell. The formation energy (no corrections) comes out at -0.496 eV/atom. Its space group is No. 71. As for the volume: 279 Å³ per cell.

Cell: 10.0064 10.0064 10.0064 Å, 159.38 127.40 57.09°
Last column: nearest neighbours and their distance in Å.
Fractional positions:
Pm (0.0067, 0.8313, 0.1754)  4 Si 3.02-3.10, 1 Pm 3.11
Pm (0.3441, 0.1687, 0.1754)  4 Si 3.02-3.10, 1 Pm 3.11
Pm (0.6559, 0.8313, 0.8246)  4 Si 3.02-3.10, 1 Pm 3.11
Pm (0.9933, 0.1687, 0.8246)  4 Si 3.02-3.10, 1 Pm 3.11
Dy (0.0000, 0.5000, 0.5000)  4 Si 3.03
Dy (0.4086, 0.4086, 0.0000)  6 Si 2.91-3.12, 1 Dy 3.21
Dy (0.5914, 0.5914, 0.0000)  6 Si 2.91-3.12, 1 Dy 3.21
Si (0.2753, 0.0000, 0.2753)  6 Dy 3.03-3.12, 2 Pm 3.10
Si (0.2784, 0.7784, 0.5000)  2 Dy 2.91, 6 Pm 3.02-3.06
Si (0.7216, 0.2216, 0.5000)  2 Dy 2.91, 6 Pm 3.02-3.06
Si (0.7247, 0.0000, 0.7247)  6 Dy 3.03-3.12, 2 Pm 3.10

***

MgFePt2: optimized geometry, PBE.

The density of states at the Fermi level is 3.12 states/eV per cell. Its space group is No. 99. Its formation energy from the elements is -0.269 eV per atom. As for the volume: 63 Å³ per cell.

Cell: 3.3707 3.3707 5.5085 Å, 90.00 90.00 90.00°
Last column: nearest neighbours and their distance in Å.
Fractional positions:
Mg (0.0000, 0.0000, 0.0000)  6 Pt 2.66-2.85, 4 Fe 2.89
Fe (0.5000, 0.5000, 0.7031)  6 Pt 2.59-2.83, 4 Mg 2.89
Pt (0.0000, 0.0000, 0.5175)  4 Fe 2.59, 2 Mg 2.66-2.85, 4 Pt 2.90
Pt (0.5000, 0.5000, 0.2174)  4 Mg 2.67, 2 Fe 2.68-2.83, 4 Pt 2.90